Below is an optimized crystal structure of VAg3C, with properties calculated at the GGA-PBE level.

Results
ΔH_f (0 K) in eV/atom: 2.50
Size of the total moment in μB per atom: 0.947
V in Å³/atom: 25.2

abc: 5.013 5.013 5.013
angles: 90.00 90.00 90.00
Positions (direct):
1 V 0.000 0.000 0.000
2 Ag 0.000 0.000 0.500
3 Ag 0.000 0.500 0.000
4 Ag 0.500 0.000 0.000
5 C 0.500 0.500 0.500

***

Below is an optimized crystal structure of VAgC2, with properties calculated at the GGA-PBE level.

Results
ΔH_f (0 K) in eV/atom: 1.66
Size of the total moment in μB per atom: 0.003
V in Å³/atom: 10.3

abc: 5.487 5.487 5.487
angles: 90.00 90.00 90.00
Positions (direct):
1 V 0.000 0.000 0.000
2 V 0.000 0.500 0.500
3 V 0.500 0.000 0.500
4 V 0.500 0.500 0.000
5 Ag 0.000 0.000 0.500
6 Ag 0.000 0.500 0.000
7 Ag 0.500 0.000 0.000
8 Ag 0.500 0.500 0.500
9 C 0.250 0.250 0.250
10 C 0.250 0.250 0.750
11 C 0.250 0.750 0.250
12 C 0.250 0.750 0.750
13 C 0.750 0.250 0.250
14 C 0.750 0.250 0.750
15 C 0.750 0.750 0.250
16 C 0.750 0.750 0.750

***

> Which value of V does entry 2 give?

10.3 Å³/atom

***

> size of the total moment of number 1 (VAg3C)?

0.947 μB per atom

***

> Look up the ΔH_f (0 K) of the first one.

2.50 eV/atom

***

Please write out number 1 again, unchanged.
Below is an optimized crystal structure of VAg3C, with properties calculated at the GGA-PBE level.

Results
ΔH_f (0 K) in eV/atom: 2.50
Size of the total moment in μB per atom: 0.947
V in Å³/atom: 25.2

abc: 5.013 5.013 5.013
angles: 90.00 90.00 90.00
Positions (direct):
1 V 0.000 0.000 0.000
2 Ag 0.000 0.000 0.500
3 Ag 0.000 0.500 0.000
4 Ag 0.500 0.000 0.000
5 C 0.500 0.500 0.500